Record 1
SrY2NpN4 | PBE | optimized geometry

Cell lengths 3.552, 6.400, 12.487 Å; angles 90.00, 90.00, 106.11 degrees
Last column: magnetic moment on the atom in μB.
Atoms (fractional coordinates):
N (0.238, 0.476, 0.384)  -0.07
N (0.479, 0.958, 0.750)  -0.12
N (0.000, 0.000, 0.500)  -0.04
N (0.238, 0.476, 0.116)  -0.07
N (0.762, 0.524, 0.884)  -0.07
N (0.521, 0.042, 0.250)  -0.12
N (0.762, 0.524, 0.616)  -0.07
N (0.000, 0.000, 0.000)  -0.04
Y (0.370, 0.740, 0.519)  0.04
Y (0.370, 0.740, 0.981)  0.04
Y (0.630, 0.260, 0.019)  0.04
Y (0.630, 0.260, 0.481)  0.04
Np (0.120, 0.241, 0.250)  2.94
Np (0.880, 0.759, 0.750)  2.94
Sr (0.147, 0.293, 0.750)  0.03
Sr (0.853, 0.707, 0.250)  0.03

Summary:
Formation energy (no corrections) ... -8.58 eV per formula unit
Space-group type ... Cmcm

Record 2
LuHfTlAg | PBE | optimized geometry

Cell lengths 5.036, 5.036, 5.036 Å; angles 60.00, 60.00, 60.00 degrees
Last column: magnetic moment on the atom in μB.
Atoms (fractional coordinates):
Lu (0.500, 0.500, 0.500)  -0.21
Hf (0.000, 0.000, 0.000)  -0.40
Ag (0.250, 0.250, 0.250)  -0.03
Tl (0.750, 0.750, 0.750)  0.01

Summary:
Space-group type ... F-43m
DFT formation energy ... -0.037 eV/atom

Record 3
PI2NF | PBE | optimized geometry

Cell lengths 5.492, 5.492, 3.771 Å; angles 90.00, 90.00, 90.00 degrees
Last column: magnetic moment on the atom in μB.
Atoms (fractional coordinates):
N (0.000, 0.000, 0.500)  1.42
I (0.500, 0.000, 0.000)  -0.10
I (0.000, 0.500, 0.000)  -0.10
P (0.500, 0.500, 0.500)  -0.09
F (0.000, 0.000, 0.000)  -0.12

Summary:
Formation energy (no corrections) ... 7.39 eV per formula unit
Space-group type ... P4/mmm
E above lowest polymorph ... 1113.2 meV/atom

For the records above, the corresponding M_tot values read 6.00; 0.93; 1.40 Bohr magnetons per cell.